Entry from the Alexandria database: an optimized crystal structure of Sb3Pb12Se5 (PBE).

As for the energy: -3.77 eV/atom. The density of states at the Fermi level is 98.385 states/eV/cell. As for the raw formation energy: -0.056 eV per atom. For the total magnetic moment, the calculation gives 0.00 μB per cell.

The structure belongs to space group Ia-3d (No. 230); the cell edges are 18.087, 18.087 and 18.087 Å and the angles 90.00°, 90.00° and 90.00°. The asymmetric unit holds Sb at (0.000, 0.250, 0.125), Pb at (0.015, 0.074, 0.654), Se at (0.000, 0.000, 0.000) and Se at (0.000, 0.250, 0.375).